Lu2Fe3Si5 (PBE, relaxed); mass density = 7637 kg/m3; electronic total energy = -135.84 eV for the cell shown
1.0
5.322 -5.826 0.000
5.322 5.826 0.000
-2.652 0.000 4.613
Lu Fe Si
4 6 10
Cartesian
1.835 1.642 1.060 Lu
0.509 -1.642 3.367 Lu
7.484 1.642 1.246 Lu
6.158 -1.642 3.553 Lu
3.281 4.121 1.894 Fe
6.038 4.121 0.413 Fe
4.659 0.002 1.153 Fe
3.333 -0.002 3.460 Fe
1.955 -4.121 4.200 Fe
4.712 -4.121 2.719 Fe
4.659 -5.826 1.153 Si
3.333 5.826 3.460 Si
1.281 1.059 3.814 Si
4.659 2.431 1.153 Si
3.333 2.428 3.460 Si
2.608 -1.059 1.507 Si
5.385 1.059 3.106 Si
4.659 -2.428 1.153 Si
3.333 -2.431 3.460 Si
6.711 -1.059 0.799 Si